PBE CsOsSeN2, relaxed; DFT total energy = -5.645 eV per atom; Fermi-level density of states = 0.814 states/eV per atom; volume = 17.8 A^3/atom; formation energy without anion corrections = 3.99 eV/f.u.
1.0
4.072 0.000 0.000
0.000 4.072 0.000
0.000 0.000 5.352
Cs Os Se N
1 1 1 2
Direct
0.000 0.000 0.000 Cs
0.500 0.500 0.500 Os
0.500 0.500 0.000 Se
0.000 0.500 0.500 N
0.500 0.000 0.500 N